Record 1
Entry from Alexandria: a relaxed RbBe2V crystal (GGA-PBE).

As for the energy of formation: 36.9 kcal/mol of atoms.

Geometry as CIF:
```
data_RbBe2V
_chemical_formula_sum 'Rb4 Be8 V4'
_cell_length_a 6.871
_cell_length_b 6.871
_cell_length_c 6.871
_cell_angle_alpha 90.00
_cell_angle_beta 90.00
_cell_angle_gamma 90.00
_space_group_name_H-M_alt 'F m -3 m'
_space_group_IT_number 225
_space_group_name_Hall '-F 4 2 3'
loop_
_atom_site_label
_atom_site_fract_x
_atom_site_fract_y
_atom_site_fract_z
Rb1 0.000 0.000 0.000
Be1 0.250 0.250 0.250
V1 0.000 0.000 0.500
```


Record 2
Entry from Alexandria: a relaxed Pr2Y3In2 crystal (GGA-PBE).

As for the energy of formation: -4.4 kcal/mol of atoms.

Geometry as CIF:
```
data_Pr2Y3In2
_chemical_formula_sum 'Pr2 Y3 In2'
_cell_length_a 3.612
_cell_length_b 5.917
_cell_length_c 10.546
_cell_angle_alpha 83.78
_cell_angle_beta 80.16
_cell_angle_gamma 89.98
_space_group_name_H-M_alt 'P -1'
_space_group_IT_number 2
loop_
_space_group_symop_operation_xyz
'x,y,z'
'-x,-y,-z'
loop_
_atom_site_label
_atom_site_fract_x
_atom_site_fract_y
_atom_site_fract_z
Pr1 0.101 0.038 0.301
Y1 0.000 0.500 0.500
Y2 0.244 0.751 0.011
In1 0.373 0.464 0.754
```


Record 3
Entry from Alexandria: a relaxed SiSN crystal (GGA-PBE).

Its formation energy (no corrections) is -0.475 eV/atom.

Geometry as CIF:
```
data_SiSN
_chemical_formula_sum 'Si2 S2 N2'
_cell_length_a 2.889
_cell_length_b 5.096
_cell_length_c 6.743
_cell_angle_alpha 93.72
_cell_angle_beta 99.59
_cell_angle_gamma 90.00
_space_group_name_H-M_alt 'P 1'
_space_group_IT_number 1
loop_
_space_group_symop_operation_xyz
'x,y,z'
loop_
_atom_site_label
_atom_site_fract_x
_atom_site_fract_y
_atom_site_fract_z
Si1 0.000 0.000 0.000
Si2 0.451 0.500 0.000
S1 0.304 0.062 0.318
S2 0.394 0.562 0.318
N1 0.471 0.822 0.920
N2 0.917 0.322 0.920
```


Record 4
Entry from Alexandria: a relaxed EuHoSnPb crystal (GGA-PBE).

As for the energy of formation: -11.3 kcal/mol of atoms.

Geometry as CIF:
```
data_EuHoSnPb
_chemical_formula_sum 'Eu4 Ho4 Sn4 Pb4'
_cell_length_a 7.755
_cell_length_b 7.755
_cell_length_c 7.755
_cell_angle_alpha 90.00
_cell_angle_beta 90.00
_cell_angle_gamma 90.00
_space_group_name_H-M_alt 'F -4 3 m'
_space_group_IT_number 216
_space_group_name_Hall 'F -4 2 3'
loop_
_atom_site_label
_atom_site_fract_x
_atom_site_fract_y
_atom_site_fract_z
Eu1 0.000 0.000 0.000
Ho1 0.000 0.000 0.500
Sn1 0.250 0.250 0.250
Pb1 0.250 0.250 0.750
```


Record 5
Entry from Alexandria: a relaxed LiZnRu2 crystal (GGA-PBE).

As for the energy of formation: 0.3 kcal/mol of atoms.

Geometry as CIF:
```
data_LiZnRu2
_chemical_formula_sum 'Li1 Zn1 Ru2'
_cell_length_a 2.740
_cell_length_b 3.724
_cell_length_c 5.421
_cell_angle_alpha 90.00
_cell_angle_beta 90.00
_cell_angle_gamma 90.00
_space_group_name_H-M_alt 'P m m 2'
_space_group_IT_number 25
loop_
_space_group_symop_operation_xyz
'x,y,z'
'-x,-y,z'
'-x,y,z'
'x,-y,z'
loop_
_atom_site_label
_atom_site_fract_x
_atom_site_fract_y
_atom_site_fract_z
Li1 0.000 0.000 0.000
Zn1 0.500 0.500 0.782
Ru1 0.000 0.000 0.490
Ru2 0.500 0.500 0.286
```


Record 6
Entry from Alexandria: a relaxed CuSbPb crystal (GGA-PBE).

Its formation energy (no corrections) is 0.161 eV/atom.

Geometry as CIF:
```
data_CuSbPb
_chemical_formula_sum 'Cu4 Sb4 Pb4'
_cell_length_a 4.336
_cell_length_b 5.153
_cell_length_c 12.995
_cell_angle_alpha 90.00
_cell_angle_beta 90.00
_cell_angle_gamma 90.00
_space_group_name_H-M_alt 'F m m 2'
_space_group_IT_number 42
_space_group_name_Hall 'F 2 -2'
loop_
_atom_site_label
_atom_site_fract_x
_atom_site_fract_y
_atom_site_fract_z
Cu1 0.000 0.000 0.000
Sb1 0.000 0.000 0.621
Pb1 0.000 0.000 0.353
```


Record 7
Entry from Alexandria: a relaxed Sm4DyS4 crystal (GGA-PBE).

Its formation energy (no corrections) is -1.774 eV/atom.

Geometry as CIF:
```
data_Sm4DyS4
_chemical_formula_sum 'Sm8 Dy2 S8'
_cell_length_a 8.831
_cell_length_b 8.831
_cell_length_c 5.649
_cell_angle_alpha 90.00
_cell_angle_beta 90.00
_cell_angle_gamma 90.00
_space_group_name_H-M_alt 'I 4/m'
_space_group_IT_number 87
_space_group_name_Hall '-I 4'
loop_
_atom_site_label
_atom_site_fract_x
_atom_site_fract_y
_atom_site_fract_z
Sm1 0.101 0.302 0.000
Dy1 0.000 0.000 0.500
S1 0.098 0.297 0.500
```


Record 8
Entry from Alexandria: a relaxed SnPdN crystal (GGA-PBE).

Its formation energy (no corrections) is 0.357 eV/atom.

Geometry as CIF:
```
data_SnPdN
_chemical_formula_sum 'Sn1 Pd1 N1'
_cell_length_a 3.170
_cell_length_b 3.291
_cell_length_c 4.541
_cell_angle_alpha 90.00
_cell_angle_beta 90.00
_cell_angle_gamma 90.00
_space_group_name_H-M_alt 'P m m 2'
_space_group_IT_number 25
loop_
_space_group_symop_operation_xyz
'x,y,z'
'-x,-y,z'
'-x,y,z'
'x,-y,z'
loop_
_atom_site_label
_atom_site_fract_x
_atom_site_fract_y
_atom_site_fract_z
Sn1 0.000 0.000 0.000
Pd1 0.500 0.500 0.615
N1 0.000 0.500 0.310
```


Record 9
Entry from Alexandria: a relaxed W3SI crystal (GGA-PBE).

Its formation energy (no corrections) is 3.134 eV/atom.

Geometry as CIF:
```
data_W3SI
_chemical_formula_sum 'W3 S1 I1'
_cell_length_a 4.893
_cell_length_b 4.893
_cell_length_c 4.893
_cell_angle_alpha 90.00
_cell_angle_beta 90.00
_cell_angle_gamma 90.00
_space_group_name_H-M_alt 'P m -3 m'
_space_group_IT_number 221
_space_group_name_Hall '-P 4 2 3'
loop_
_atom_site_label
_atom_site_fract_x
_atom_site_fract_y
_atom_site_fract_z
W1 0.000 0.000 0.500
S1 0.500 0.500 0.500
I1 0.000 0.000 0.000
```


Record 10
Entry from Alexandria: a relaxed Tb4Y2Te9 crystal (GGA-PBE).

Its formation energy (no corrections) is -1.375 eV/atom.

Geometry as CIF:
```
data_Tb4Y2Te9
_chemical_formula_sum 'Tb8 Y4 Te18'
_cell_length_a 7.7190
_cell_length_b 7.7190
_cell_length_c 21.1382
_cell_angle_alpha 90.00
_cell_angle_beta 90.00
_cell_angle_gamma 120.00
_space_group_name_H-M_alt 'P -3 c 1'
_space_group_IT_number 165
_space_group_name_Hall '-P 3 2"c'
loop_
_atom_site_label
_atom_site_fract_x
_atom_site_fract_y
_atom_site_fract_z
Tb1 0.3333 0.6667 0.1766
Tb2 0.3333 0.6667 0.4901
Y1 0.0000 0.0000 0.1570
Te1 0.0000 0.3129 0.2500
Te2 0.0200 0.3527 0.5834
```


Record 11
Entry from Alexandria: a relaxed NaCuCl2 crystal (GGA-PBE).

Its formation energy (no corrections) is -1.092 eV/atom.

Geometry as CIF:
```
data_NaCuCl2
_chemical_formula_sum 'Na4 Cu4 Cl8'
_cell_length_a 13.571
_cell_length_b 4.106
_cell_length_c 6.834
_cell_angle_alpha 90.00
_cell_angle_beta 90.00
_cell_angle_gamma 90.00
_space_group_name_H-M_alt 'P n m a'
_space_group_IT_number 62
loop_
_space_group_symop_operation_xyz
'x,y,z'
'-x,-y,-z'
'-x+1/2,-y,z+1/2'
'x+1/2,y,-z+1/2'
'x+1/2,-y+1/2,-z+1/2'
'-x+1/2,y+1/2,z+1/2'
'-x,y+1/2,-z'
'x,-y+1/2,z'
loop_
_atom_site_label
_atom_site_fract_x
_atom_site_fract_y
_atom_site_fract_z
Na1 0.142 0.250 0.006
Cu1 0.079 0.750 0.519
Cl1 0.039 0.750 0.216
Cl2 0.192 0.750 0.745
```


Record 12
Entry from Alexandria: a relaxed NpTiMn2 crystal (GGA-PBE).

As for the energy of formation: 2.0 kcal/mol of atoms.

Geometry as CIF:
```
data_NpTiMn2
_chemical_formula_sum 'Np4 Ti4 Mn8'
_cell_length_a 6.230
_cell_length_b 6.230
_cell_length_c 6.230
_cell_angle_alpha 90.00
_cell_angle_beta 90.00
_cell_angle_gamma 90.00
_space_group_name_H-M_alt 'F m -3 m'
_space_group_IT_number 225
_space_group_name_Hall '-F 4 2 3'
loop_
_atom_site_label
_atom_site_fract_x
_atom_site_fract_y
_atom_site_fract_z
Np1 0.000 0.000 0.000
Ti1 0.000 0.000 0.500
Mn1 0.250 0.250 0.250
```